YTl2Rh | meta-GGA SCAN | PBEsol geometry

## Properties
Density of states at the Fermi level ... 2.64 states/eV/f.u.
Final energy ... -51.6644 eV per atom
Formation enthalpy at 0 K ... -0.3 eV/f.u.
Space-group type ... C2/m

Cell: 3.4683 4.9363 6.0765 Å, 113.32 105.71 92.07°
With the nearest neighbours (Å) after each atom.
Element x y z (fractional)
Rh (0.0000, 0.5000, 0.0000)  4 Y 2.96-3.07, 4 Tl 3.06
Tl (0.0000, 0.0000, 0.5000)  4 Tl 2.96-3.07, 2 Rh 3.06, 2 Y 3.06
Tl (0.5000, 0.5000, 0.5000)  4 Tl 2.96-3.07, 2 Y 3.06, 2 Rh 3.06
Y (0.5000, 0.0000, 0.0000)  4 Rh 2.96-3.07, 4 Tl 3.06

=====

YTl2Rh | meta-GGA SCAN | PBEsol geometry

## Properties
Density of states at the Fermi level ... 1.91 states/eV/f.u.
Final energy ... -51.8300 eV per atom
Formation enthalpy at 0 K ... -1.0 eV/f.u.
Space-group type ... Imm2

Cell: 4.1722 4.8375 5.3457 Å, 116.90 112.97 90.00°
With the nearest neighbours (Å) after each atom.
Element x y z (fractional)
Rh (0.2453, 0.7453, 0.4905)  2 Y 2.84, 2 Tl 2.93
Tl (0.9855, 0.9855, 0.9710)  2 Rh 2.93, 4 Tl 3.08-3.15, 4 Y 3.21
Tl (0.7496, 0.2496, 0.4991)  4 Tl 3.08-3.15, 4 Y 3.12, 4 Rh 3.19
Y (0.5197, 0.5197, 0.0394)  2 Rh 2.84, 4 Tl 3.12

=====

YTlRh | meta-GGA SCAN | PBEsol geometry

## Properties
Density of states at the Fermi level ... 2.24 states/eV/f.u.
Final energy ... -45.1939 eV per atom
Formation enthalpy at 0 K ... -1.6 eV/f.u.
Space-group type ... P-6m2

Cell: 3.3144 4.6820 4.6820 Å, 120.00 90.00 90.00°
With the nearest neighbours (Å) after each atom.
Element x y z (fractional)
Rh (0.0000, 0.0000, 0.0000)  3 Tl 2.70
Tl (0.0000, 0.3333, 0.6667)  3 Rh 2.70
Y (0.5000, 0.6667, 0.3333)  6 Rh 3.17, 6 Tl 3.17, 2 Y 3.31

=====

Y2TlRh2 | meta-GGA SCAN | PBEsol geometry

## Properties
Density of states at the Fermi level ... 3.45 states/eV/f.u.
Final energy ... -39.5613 eV per atom
Formation enthalpy at 0 K ... -2.2 eV/f.u.
Space-group type ... I4/mmm

Cell: 3.8993 3.8993 7.9456 Å, 104.20 104.20 90.00°
With the nearest neighbours (Å) after each atom.
Element x y z (fractional)
Y (0.3780, 0.3780, 0.7561)  4 Rh 2.73
Y (0.6220, 0.6220, 0.2439)  4 Rh 2.73
Tl (0.0000, 0.0000, 0.0000)  8 Y 3.30
Rh (0.2500, 0.7500, 0.5000)  4 Y 2.73, 4 Rh 2.76
Rh (0.7500, 0.2500, 0.5000)  4 Y 2.73, 4 Rh 2.76

=====

TlZnRh | meta-GGA SCAN | PBEsol geometry

## Properties
Density of states at the Fermi level ... 1.86 states/eV/f.u.
Final energy ... -39.4530 eV per atom
Energy above the lowest structure with this stoichiometry ... 0.259 eV per atom
Formation enthalpy at 0 K ... 1.3 eV/f.u.
Space-group type ... F-43m

Cell: 4.3450 4.3450 4.3450 Å, 60.00 60.00 60.00°
With the nearest neighbours (Å) after each atom.
Element x y z (fractional)
Rh (0.5000, 0.5000, 0.5000)  4 Tl 2.66
Tl (0.2500, 0.2500, 0.2500)  4 Rh 2.66, 4 Zn 2.66
Zn (0.0000, 0.0000, 0.0000)  4 Tl 2.66

=====

TlZn2Rh | meta-GGA SCAN | PBEsol geometry

## Properties
Density of states at the Fermi level ... 1.56 states/eV/f.u.
Final energy ... -33.2263 eV per atom
Energy above the lowest structure with this stoichiometry ... 0.158 eV per atom
Formation enthalpy at 0 K ... 0.3 eV/f.u.
Space-group type ... Cmmm

Cell: 3.1673 4.5693 4.5693 Å, 105.89 90.00 90.00°
With the nearest neighbours (Å) after each atom.
Element x y z (fractional)
Rh (0.5000, 0.0000, 0.0000)  2 Tl 2.75, 8 Zn 2.78
Tl (0.5000, 0.5000, 0.5000)  2 Rh 2.75, 8 Zn 2.78
Zn (0.0000, 0.5000, 0.0000)  2 Zn 2.75, 4 Tl 2.78, 4 Rh 2.78
Zn (0.0000, 0.0000, 0.5000)  2 Zn 2.75, 4 Rh 2.78, 4 Tl 2.78

=====

TlZn2Rh | meta-GGA SCAN | PBEsol geometry

## Properties
Density of states at the Fermi level ... 1.23 states/eV/f.u.
Final energy ... -33.3846 eV per atom
Energy above the lowest structure with this stoichiometry ... 0.000 eV per atom
Formation enthalpy at 0 K ... -0.4 eV/f.u.
Space-group type ... P2/m

Cell: 3.0674 3.0680 7.2593 Å, 90.00 90.39 90.00°
With the nearest neighbours (Å) after each atom.
Element x y z (fractional)
Rh (0.5000, 0.5000, 0.0000)  8 Zn 2.56
Tl (0.5000, 0.5000, 0.5000)  4 Tl 3.07, 8 Zn 3.13-3.15
Zn (0.9968, 0.0000, 0.8124)  4 Rh 2.56, 1 Zn 2.72
Zn (0.0032, 0.0000, 0.1876)  4 Rh 2.56, 1 Zn 2.72

=====

TlZnRh | meta-GGA SCAN | PBEsol geometry

## Properties
Density of states at the Fermi level ... 2.31 states/eV/f.u.
Final energy ... -39.7124 eV per atom
Energy above the lowest structure with this stoichiometry ... 0.000 eV per atom
Formation enthalpy at 0 K ... 0.5 eV/f.u.
Space-group type ... P3m1

Cell: 3.0495 3.0495 6.4989 Å, 90.00 90.00 120.00°
With the nearest neighbours (Å) after each atom.
Element x y z (fractional)
Rh (0.0000, 0.0000, 0.0201)  3 Zn 2.53, 3 Tl 2.82
Tl (0.3333, 0.6667, 0.6802)  3 Rh 2.82, 3 Zn 3.04, 6 Tl 3.05
Zn (0.6667, 0.3333, 0.2997)  3 Rh 2.53

=====

TlZn2Rh | meta-GGA SCAN | PBEsol geometry

## Properties
Density of states at the Fermi level ... 1.75 states/eV/f.u.
Final energy ... -33.2756 eV per atom
Energy above the lowest structure with this stoichiometry ... 0.109 eV per atom
Formation enthalpy at 0 K ... 0.1 eV/f.u.
Space-group type ... Pm

Cell: 3.0994 4.2337 4.9492 Å, 90.00 90.33 90.00°
With the nearest neighbours (Å) after each atom.
Element x y z (fractional)
Rh (0.6267, 0.0000, 0.5036)  4 Zn 2.58-2.60, 4 Tl 2.81
Tl (0.1278, 0.5000, 0.7070)  4 Rh 2.81, 6 Zn 2.82-2.93, 2 Tl 3.10
Zn (0.1219, 0.0000, 0.0834)  2 Rh 2.59-2.60, 4 Zn 2.69, 2 Tl 2.82
Zn (0.6236, 0.5000, 0.2060)  2 Rh 2.58, 4 Zn 2.69

=====

TmRh3 | meta-GGA SCAN | PBEsol geometry

## Properties
Density of states at the Fermi level ... 3.35 states/eV/f.u.
Final energy ... -38.9400 eV per atom
Formation enthalpy at 0 K ... -2.6 eV/f.u.
Space-group type ... Pm-3m

Cell: 3.9489 3.9489 3.9489 Å, 90.00 90.00 90.00°
With the nearest neighbours (Å) after each atom.
Element x y z (fractional)
Tm (0.0000, 0.0000, 0.0000)  12 Rh 2.79
Rh (0.5000, 0.5000, 0.0000)  4 Tm 2.79, 8 Rh 2.79
Rh (0.5000, 0.0000, 0.5000)  4 Tm 2.79, 8 Rh 2.79
Rh (0.0000, 0.5000, 0.5000)  4 Tm 2.79, 8 Rh 2.79

=====

TmZnRh2 | meta-GGA SCAN | PBEsol geometry

## Properties
Density of states at the Fermi level ... 2.10 states/eV/f.u.
Final energy ... -34.0121 eV per atom
Formation enthalpy at 0 K ... -3.2 eV/f.u.
Space-group type ... Fm-3m

Cell: 4.4440 4.4440 4.4440 Å, 60.00 60.00 60.00°
With the nearest neighbours (Å) after each atom.
Element x y z (fractional)
Zn (0.5000, 0.5000, 0.5000)  8 Rh 2.72
Tm (0.0000, 0.0000, 0.0000)  8 Rh 2.72
Rh (0.2500, 0.2500, 0.2500)  4 Tm 2.72, 4 Zn 2.72
Rh (0.7500, 0.7500, 0.7500)  4 Zn 2.72, 4 Tm 2.72

=====

URh3 | meta-GGA SCAN | PBEsol geometry

## Properties
Density of states at the Fermi level ... 4.01 states/eV/f.u.
Final energy ... -51.8680 eV per atom
Formation enthalpy at 0 K ... -2.6 eV/f.u.
Space-group type ... Pm-3m

Cell: 3.9561 3.9561 3.9561 Å, 90.00 90.00 90.00°
With the nearest neighbours (Å) after each atom.
Element x y z (fractional)
U (0.0000, 0.0000, 0.0000)  12 Rh 2.80
Rh (0.5000, 0.5000, 0.0000)  8 Rh 2.80, 4 U 2.80
Rh (0.5000, 0.0000, 0.5000)  4 U 2.80, 8 Rh 2.80
Rh (0.0000, 0.5000, 0.5000)  8 Rh 2.80, 4 U 2.80